(1)
Compound: Pm2Zn3HgAu4
Source: Alexandria
Functional: PBE-GGA
Structure: relaxed

```
Pm2Zn3HgAu4
1.0
4.219 0.000 0.000
0.000 4.219 0.000
0.000 0.000 11.937
Pm Zn Hg Au
2 3 1 4
direct
0.000 0.500 0.240 Pm
0.500 0.000 0.760 Pm
0.000 0.500 0.869 Zn
0.500 0.000 0.131 Zn
0.500 0.500 0.500 Zn
0.000 0.000 0.500 Hg
0.000 0.000 0.000 Au
0.000 0.500 0.659 Au
0.500 0.000 0.341 Au
0.500 0.500 0.000 Au
```

Computed properties:
As for the symmetry: P-4m2, No. 115. The crystal system is tetragonal.

---

(2)
Compound: PmZrHgAu
Source: Alexandria
Functional: PBE-GGA
Structure: relaxed

```
PmZrHgAu
1.0
0.000 3.624 3.624
3.624 0.000 3.624
3.624 3.624 0.000
Pm Zr Hg Au
1 1 1 1
direct
0.000 0.000 0.000 Pm
0.500 0.500 0.500 Zr
0.250 0.250 0.250 Hg
0.750 0.750 0.750 Au
```

Computed properties:
As for the symmetry: F-43m, No. 216. The crystal system is cubic.

---

(3)
Compound: Pr7Hg2Au2
Source: Alexandria
Functional: PBE-GGA
Structure: relaxed

```
Pr7Hg2Au2
1.0
4.155 -5.725 0.000
4.155 5.725 0.000
0.000 0.000 7.613
Pr Hg Au
7 2 2
direct
0.000 0.000 0.000 Pr
0.000 0.500 0.271 Pr
0.000 0.500 0.729 Pr
0.500 0.000 0.271 Pr
0.500 0.000 0.729 Pr
0.500 0.500 0.259 Pr
0.500 0.500 0.741 Pr
0.174 0.174 0.500 Hg
0.826 0.826 0.500 Hg
0.290 0.710 0.000 Au
0.710 0.290 0.000 Au
```

Computed properties:
As for the symmetry: Cmmm, No. 65. The crystal system is orthorhombic.

---

(4)
Compound: PrHg6Au
Source: Alexandria
Functional: PBE-GGA
Structure: relaxed

```
PrHg6Au
1.0
4.558 0.000 0.000
0.000 4.212 5.325
0.000 -4.212 5.325
Pr Hg Au
1 6 1
direct
0.000 0.000 0.000 Pr
0.000 0.088 0.487 Hg
0.000 0.487 0.088 Hg
0.000 0.576 0.576 Hg
0.500 0.284 0.713 Hg
0.500 0.713 0.284 Hg
0.500 0.774 0.774 Hg
0.500 0.195 0.195 Au
```

Computed properties:
As for the symmetry: Amm2, No. 38. The crystal system is orthorhombic. Its excess energy over the best structure of this formula in the dataset is 0 meV per atom.

---

(5)
Compound: Pr6HgAu
Source: Alexandria
Functional: PBE-GGA
Structure: relaxed

```
Pr6HgAu
1.0
-2.670 2.670 8.939
2.670 -2.670 8.939
2.670 2.670 -8.939
Pr Hg Au
6 1 1
direct
0.107 0.607 0.500 Pr
0.249 0.249 0.000 Pr
0.393 0.893 0.500 Pr
0.607 0.107 0.500 Pr
0.751 0.751 0.000 Pr
0.893 0.393 0.500 Pr
0.000 0.000 0.000 Hg
0.500 0.500 0.000 Au
```

Computed properties:
As for the symmetry: I4/mmm, No. 139. The crystal system is tetragonal.

---

(6)
Compound: PrHgAu4
Source: Alexandria
Functional: PBE-GGA
Structure: relaxed

```
PrHgAu4
1.0
4.798 0.000 0.000
-2.399 4.155 0.000
0.000 0.000 6.698
Pr Hg Au
1 1 4
direct
0.000 0.000 0.000 Pr
0.000 0.000 0.500 Hg
0.333 0.667 0.262 Au
0.333 0.667 0.738 Au
0.667 0.333 0.262 Au
0.667 0.333 0.738 Au
```

Computed properties:
As for the symmetry: P6/mmm, No. 191. The crystal system is hexagonal.

---

(7)
Compound: Pr3HgAu5
Source: Alexandria
Functional: PBE-GGA
Structure: relaxed

```
Pr3HgAu5
1.0
-4.151 4.151 6.725
4.151 -4.151 6.725
4.151 4.151 -6.725
Pr Hg Au
6 2 10
direct
0.131 0.631 0.763 Pr
0.250 0.250 0.000 Pr
0.369 0.131 0.500 Pr
0.631 0.869 0.500 Pr
0.750 0.750 0.000 Pr
0.869 0.369 0.237 Pr
0.250 0.750 0.500 Hg
0.750 0.250 0.500 Hg
0.000 0.000 0.000 Au
0.049 0.151 0.500 Au
0.151 0.651 0.101 Au
0.349 0.451 0.500 Au
0.451 0.951 0.101 Au
0.500 0.500 0.000 Au
0.549 0.049 0.899 Au
0.651 0.549 0.500 Au
0.849 0.349 0.899 Au
0.951 0.849 0.500 Au
```

Computed properties:
As for the symmetry: I4/mcm, No. 140. The crystal system is tetragonal. Its excess energy over the best structure of this formula in the dataset is 234 meV per atom.

---

(8)
Compound: Pr6HgAu2
Source: Alexandria
Functional: PBE-GGA
Structure: relaxed

```
Pr6HgAu2
1.0
-2.576 3.715 7.874
2.576 -3.715 7.874
2.576 3.715 -7.874
Pr Hg Au
6 1 2
direct
0.078 0.331 0.747 Pr
0.239 0.000 0.239 Pr
0.415 0.669 0.747 Pr
0.585 0.331 0.253 Pr
0.761 0.000 0.761 Pr
0.922 0.669 0.253 Pr
0.500 0.500 0.000 Hg
0.168 0.168 0.000 Au
0.832 0.832 0.000 Au
```

Computed properties:
As for the symmetry: Immm, No. 71. The crystal system is orthorhombic.

---

(9)
Compound: Pr12HgAu6
Source: Alexandria
Functional: PBE-GGA
Structure: relaxed

```
Pr12HgAu6
1.0
6.821 3.938 4.067
-6.821 3.938 4.067
0.000 -7.876 4.067
Pr Hg Au
12 1 6
direct
0.065 0.927 0.672 Pr
0.073 0.328 0.935 Pr
0.179 0.572 0.422 Pr
0.328 0.935 0.073 Pr
0.422 0.179 0.572 Pr
0.428 0.578 0.821 Pr
0.572 0.422 0.179 Pr
0.578 0.821 0.428 Pr
0.672 0.065 0.927 Pr
0.821 0.428 0.578 Pr
0.927 0.672 0.065 Pr
0.935 0.073 0.328 Pr
0.000 0.000 0.000 Hg
0.138 0.311 0.615 Au
0.311 0.615 0.138 Au
0.385 0.862 0.689 Au
0.615 0.138 0.311 Au
0.689 0.385 0.862 Au
0.862 0.689 0.385 Au
```

Computed properties:
As for the symmetry: R-3, No. 148. The crystal system is trigonal.

---

(10)
Compound: Pr3Hg2Au7
Source: Alexandria
Functional: PBE-GGA
Structure: relaxed

```
Pr3Hg2Au7
1.0
2.379 -15.104 0.000
2.379 15.104 0.000
0.000 0.000 3.957
Pr Hg Au
3 2 7
direct
0.000 0.000 0.000 Pr
0.187 0.813 0.000 Pr
0.813 0.187 0.000 Pr
0.364 0.636 0.500 Hg
0.636 0.364 0.500 Hg
0.084 0.916 0.500 Au
0.272 0.728 0.500 Au
0.431 0.569 0.000 Au
0.500 0.500 0.500 Au
0.569 0.431 0.000 Au
0.728 0.272 0.500 Au
0.916 0.084 0.500 Au
```

Computed properties:
As for the symmetry: Cmmm, No. 65. The crystal system is orthorhombic.

---

(11)
Compound: Pr3Hg7Au2
Source: Alexandria
Functional: PBE-GGA
Structure: relaxed

```
Pr3Hg7Au2
1.0
4.886 0.000 0.000
0.000 4.026 0.000
-2.380 0.000 15.795
Pr Hg Au
3 7 2
direct
0.000 0.000 0.000 Pr
0.321 0.500 0.644 Pr
0.679 0.500 0.356 Pr
0.078 0.500 0.155 Hg
0.230 0.000 0.458 Hg
0.410 0.000 0.828 Hg
0.500 0.500 0.000 Hg
0.590 0.000 0.172 Hg
0.770 0.000 0.542 Hg
0.922 0.500 0.845 Hg
0.148 0.000 0.285 Au
0.852 0.000 0.715 Au
```

Computed properties:
As for the symmetry: P2/m, No. 10. The crystal system is monoclinic.

---

(12)
Compound: PrHgAu
Source: Alexandria
Functional: PBE-GGA
Structure: relaxed

```
PrHgAu
1.0
0.000 3.486 3.486
3.486 0.000 3.486
3.486 3.486 0.000
Pr Hg Au
1 1 1
direct
0.000 0.000 0.000 Pr
0.500 0.500 0.500 Hg
0.250 0.250 0.250 Au
```

Computed properties:
As for the symmetry: F-43m, No. 216. The crystal system is cubic.

---

no.,total energy (Ry per atom)
1,-0.2309
2,-0.3367
3,-0.2903
4,-0.1054
5,-0.3173
6,-0.2535
7,-0.2873
8,-0.3093
9,-0.3248
10,-0.2673
11,-0.1665
12,-0.2432